! Nb2CrTcO, optimized geometry, DFT PBE with a Hubbard U; values from VASP
&SYSTEM
  ibrav = 0, nat = 5, ntyp = 4
/
ATOMIC_SPECIES
Nb 92.91 Nb.upf
Cr 52.00 Cr.upf
Tc 98.00 Tc.upf
O 16.00 O.upf
CELL_PARAMETERS angstrom
4.911 0.000 0.000
0.000 4.911 0.000
0.000 0.000 3.446
ATOMIC_POSITIONS angstrom
Nb 0.000 2.456 0.000
Nb 2.456 0.000 0.000
Cr 0.000 0.000 0.000
Tc 2.456 2.456 1.723
O 0.000 0.000 1.723
! Uncorrected energy = -7.745 eV/atom